# 1
## Ca2SmZn2Ga2 (PBE-GGA)

Data for a geometry-optimized Ca2SmZn2Ga2 structure.

The space group is R-3m (No. 166, hexagonal axes) and the conventional cell measures 4.4548, 4.4548 and 31.1082 Å, with angles of 90.00, 90.00 and 120.00 degrees. The distinct sites, in fractional coordinates, are Ca at (0.0000, 0.0000, 0.1189), Sm at (0.0000, 0.0000, 0.0000), Zn at (0.0000, 0.0000, 0.3901) and Ga at (0.0000, 0.0000, 0.2742).

As for the energy relative to the elements: -0.42 eV per atom. The calculation puts the raw total energy at -2.89 eV per atom.


# 2
## Ca4Ga2Sn (PBE-GGA)

Data for a geometry-optimized Ca4Ga2Sn structure.

The space group is R-3m (No. 166, hexagonal axes) and the conventional cell measures 5.2664, 5.2664 and 25.6184 Å, with angles of 90.00, 90.00 and 120.00 degrees. The distinct sites, in fractional coordinates, are Ca at (0.0000, 0.0000, 0.1208), Ca at (0.0000, 0.0000, 0.3729), Ga at (0.0000, 0.0000, 0.2495) and Sn at (0.0000, 0.0000, 0.5000).

As for the energy relative to the elements: -0.38 eV per atom. The calculation puts the raw total energy at -2.96 eV per atom.


# 3
## Ca2GaSn2 (PBE-GGA)

Data for a geometry-optimized Ca2GaSn2 structure.

The space group is P4/mbm (No. 127) and the conventional cell measures 7.596, 7.596 and 4.821 Å, with angles of 90.00, 90.00 and 90.00 degrees. The distinct sites, in fractional coordinates, are Ca at (0.169, 0.331, 0.000), Ga at (0.000, 0.000, 0.500) and Sn at (0.138, 0.638, 0.500).

As for the energy relative to the elements: -0.47 eV per atom. Its polymorph energy (0 for the lowest one) is 58.5 meV/atom. The calculation puts the raw total energy at -3.48 eV per atom.


Q: Which formula does entry 1 have?
A: Ca2SmZn2Ga2